--- 1 ---
Below is Ce4SeS6 after structural relaxation, with properties calculated at the PBE level.

Unit cell a=9.5058 b=9.5058 c=7.1369 alpha=90.00 beta=90.00 gamma=120.00
Closest atoms and distances in Å follow each position.
Fractional coordinates of all 22 atoms:
Ce 0.1769 0.3538 0.0000  5 S 2.77-2.91, 1 Se 2.80
Ce 0.1769 0.8231 0.0000  5 S 2.77-2.91, 1 Se 2.80
Ce 0.3333 0.6667 0.4591  3 S 2.66, 1 Se 2.75
Ce 0.3538 0.1769 0.5000  5 S 2.77-2.91, 1 Se 2.80
Ce 0.6462 0.8231 0.0000  5 S 2.77-2.91, 1 Se 2.80
Ce 0.6667 0.3333 0.9591  3 S 2.66, 1 Se 2.75
Ce 0.8231 0.1769 0.5000  5 S 2.77-2.91, 1 Se 2.80
Ce 0.8231 0.6462 0.5000  5 S 2.77-2.91, 1 Se 2.80
Se 0.3333 0.6667 0.8448  4 Ce 2.75-2.80
Se 0.6667 0.3333 0.3448  4 Ce 2.75-2.80
S 0.0796 0.5398 0.2275  3 Ce 2.66-2.87
S 0.1416 0.2832 0.6010  3 Ce 2.77-2.91
S 0.1416 0.8584 0.6010  3 Ce 2.77-2.91
S 0.2832 0.1416 0.1010  3 Ce 2.77-2.91
S 0.4602 0.5398 0.2275  3 Ce 2.66-2.87
S 0.4602 0.9204 0.2275  3 Ce 2.66-2.87
S 0.5398 0.0796 0.7275  3 Ce 2.66-2.87
S 0.5398 0.4602 0.7275  3 Ce 2.66-2.87
S 0.7168 0.8584 0.6010  3 Ce 2.77-2.91
S 0.8584 0.1416 0.1010  3 Ce 2.77-2.91
S 0.8584 0.7168 0.1010  3 Ce 2.77-2.91
S 0.9204 0.4602 0.7275  3 Ce 2.66-2.87

Output
- magnetization (μB/cell) = 4.17
- crystal system = hexagonal

---

--- 2 ---
Below is Ce4SeS6 after structural relaxation, with properties calculated at the PBE level.

Unit cell a=8.5159 b=8.5159 c=3.9426 alpha=90.00 beta=90.00 gamma=120.00
Closest atoms and distances in Å follow each position.
Fractional coordinates of all 11 atoms:
Ce 0.0000 0.0000 0.0000  9 S 2.81-3.06
Ce 0.0083 0.5041 0.5000  6 S 2.74-2.94
Ce 0.4959 0.5041 0.5000  6 S 2.74-2.94
Ce 0.4959 0.9917 0.5000  6 S 2.74-2.94
Se 0.6667 0.3333 0.0000  6 Ce 3.20, 6 S 3.52
S 0.2072 0.4144 0.0000  5 Ce 2.94-3.06, 2 S 3.22
S 0.2072 0.7928 0.0000  5 Ce 2.94-3.06, 2 S 3.22
S 0.2707 0.1353 0.5000  4 Ce 2.74-2.81
S 0.5856 0.7928 0.0000  5 Ce 2.94-3.06, 2 S 3.22
S 0.8647 0.1353 0.5000  4 Ce 2.74-2.81
S 0.8647 0.7293 0.5000  4 Ce 2.74-2.81

Output
- magnetization (μB/cell) = 2.07
- crystal system = hexagonal

---

Least stable of them? 1.

---

--- 1 ---
Below is Ce2SeS2 after structural relaxation, with properties calculated at the PBE level.

Unit cell a=7.5279 b=7.5279 c=7.5279 alpha=147.42 beta=137.24 gamma=54.77
Closest atoms and distances in Å follow each position.
Fractional coordinates of all 5 atoms:
Ce 0.1575 0.1575 0.0000  4 S 2.81-2.82, 2 Se 2.98
Ce 0.8425 0.8425 0.0000  4 S 2.81-2.82, 2 Se 2.98
Se 0.0000 0.5000 0.5000  4 Ce 2.98
S 0.2968 0.7968 0.5000  4 Ce 2.81-2.82
S 0.7032 0.2032 0.5000  4 Ce 2.81-2.82

Output
- magnetization (μB/cell) = 2.01
- crystal system = orthorhombic

---

--- 2 ---
Below is Ce2SeS2 after structural relaxation, with properties calculated at the PBE level.

Unit cell a=7.4852 b=7.4852 c=7.4852 alpha=145.73 beta=145.73 gamma=49.24
Closest atoms and distances in Å follow each position.
Fractional coordinates of all 5 atoms:
Ce 0.1318 0.1318 0.0000  4 S 2.73
Ce 0.8682 0.8682 0.0000  4 S 2.73
Se 0.5000 0.5000 0.0000  8 Ce 3.60
S 0.2500 0.7500 0.5000  4 Ce 2.73
S 0.7500 0.2500 0.5000  4 Ce 2.73

Output
- magnetization (μB/cell) = 2.00
- crystal system = tetragonal

---

Least stable of them? 2.

---

--- 1 ---
Below is Ce3Se2S after structural relaxation, with properties calculated at the PBE level.

Unit cell a=7.1606 b=7.1606 c=7.1838 alpha=99.58 beta=99.58 gamma=120.01
Closest atoms and distances in Å follow each position.
Fractional coordinates of all 12 atoms:
Ce 0.0781 0.4201 0.7607  2 S 2.85-2.86, 4 Se 2.94-3.00
Ce 0.2366 0.2366 0.2367  2 S 2.85, 4 Se 2.93-2.97
Ce 0.4201 0.0781 0.7607  2 S 2.85-2.86, 4 Se 2.94-3.00
Ce 0.5799 0.9219 0.2393  2 S 2.85-2.86, 4 Se 2.94-3.00
Ce 0.7634 0.7634 0.7633  2 S 2.85, 4 Se 2.93-2.97
Ce 0.9219 0.5799 0.2393  2 S 2.85-2.86, 4 Se 2.94-3.00
Se 0.0000 0.0000 0.5000  6 Ce 2.93-2.99
Se 0.3371 0.6629 0.5000  6 Ce 2.95-3.00
Se 0.5000 0.5000 0.0000  6 Ce 2.93-2.94
Se 0.6629 0.3371 0.5000  6 Ce 2.95-3.00
S 0.1673 0.8327 0.0000  6 Ce 2.85-2.86
S 0.8327 0.1673 0.0000  6 Ce 2.85-2.86

Output
- magnetization (μB/cell) = 4.76
- crystal system = monoclinic

---

--- 2 ---
Below is Ce3Se2S after structural relaxation, with properties calculated at the PBE level.

Unit cell a=7.1745 b=7.1745 c=7.1745 alpha=146.57 beta=131.82 gamma=59.91
Closest atoms and distances in Å follow each position.
Fractional coordinates of all 6 atoms:
Ce 0.0000 0.0000 0.0000  2 S 2.93, 4 Se 2.95
Ce 0.3422 0.3422 0.0000  2 S 2.85, 4 Se 2.93-2.97
Ce 0.6578 0.6578 0.0000  2 S 2.85, 4 Se 2.93-2.97
Se 0.1701 0.6701 0.5000  6 Ce 2.93-2.97
Se 0.8299 0.3299 0.5000  6 Ce 2.93-2.97
S 0.5000 0.0000 0.5000  6 Ce 2.85-2.93

Output
- magnetization (μB/cell) = 2.11
- crystal system = orthorhombic

---

Least stable of them? 2.

---

--- 1 ---
Below is Ce2SiS5 after structural relaxation, with properties calculated at the PBE level.

Unit cell a=11.3972 b=8.5035 c=8.5214 alpha=90.00 beta=108.02 gamma=90.00
Closest atoms and distances in Å follow each position.
Fractional coordinates of all 32 atoms:
Ce 0.0287 0.1268 0.2336  6 S 2.77-3.05
Ce 0.0287 0.3732 0.7336  6 S 2.77-3.05
Ce 0.3775 0.1350 0.0499  8 S 2.88-3.03
Ce 0.3775 0.3650 0.5499  8 S 2.88-3.03
Ce 0.6225 0.6350 0.4501  8 S 2.88-3.03
Ce 0.6225 0.8650 0.9501  8 S 2.88-3.03
Ce 0.9713 0.6268 0.2664  6 S 2.77-3.05
Ce 0.9713 0.8732 0.7664  6 S 2.77-3.05
Si 0.3033 0.5822 0.0224  4 S 2.10-2.17
Si 0.3033 0.9178 0.5224  4 S 2.10-2.17
Si 0.6967 0.0822 0.4776  4 S 2.10-2.17
Si 0.6967 0.4178 0.9776  4 S 2.10-2.17
S 0.1123 0.1168 0.9435  4 Ce 2.77-2.91
S 0.1123 0.3832 0.4435  4 Ce 2.77-2.91
S 0.1126 0.6170 0.0002  1 Si 2.14
S 0.1126 0.8830 0.5002  1 Si 2.14
S 0.2925 0.0920 0.3330  1 Si 2.17
S 0.2925 0.4080 0.8330  1 Si 2.17
S 0.3746 0.7063 0.4639  1 Si 2.10
S 0.3746 0.7937 0.9639  1 Si 2.10
S 0.4128 0.0573 0.7259  1 Si 2.15
S 0.4128 0.4427 0.2259  1 Si 2.15
S 0.5872 0.5573 0.7741  1 Si 2.15
S 0.5872 0.9427 0.2741  1 Si 2.15
S 0.6254 0.2063 0.0361  1 Si 2.10
S 0.6254 0.2937 0.5361  1 Si 2.10
S 0.7075 0.5920 0.1670  1 Si 2.17
S 0.7075 0.9080 0.6670  1 Si 2.17
S 0.8874 0.1170 0.4998  1 Si 2.14
S 0.8874 0.3830 0.9998  1 Si 2.14
S 0.8877 0.6168 0.5565  4 Ce 2.77-2.91
S 0.8877 0.8832 0.0565  4 Ce 2.77-2.91

Output
- magnetization (μB/cell) = 8.01
- crystal system = monoclinic

---

--- 2 ---
Below is Ce2SiS5 after structural relaxation, with properties calculated at the PBE level.

Unit cell a=7.5283 b=12.5614 c=7.8449 alpha=90.00 beta=101.41 gamma=90.00
Closest atoms and distances in Å follow each position.
Fractional coordinates of all 32 atoms:
Ce 0.1609 0.1670 0.1357  8 S 2.89-3.18
Ce 0.1609 0.3330 0.6357  8 S 2.89-3.18
Ce 0.2379 0.5945 0.0447  8 S 2.79-3.10
Ce 0.2379 0.9055 0.5447  8 S 2.79-3.10
Ce 0.7621 0.0945 0.4553  8 S 2.79-3.10
Ce 0.7621 0.4055 0.9553  8 S 2.79-3.10
Ce 0.8391 0.6670 0.3643  8 S 2.89-3.18
Ce 0.8391 0.8330 0.8643  8 S 2.89-3.18
Si 0.3311 0.6176 0.5964  4 S 2.12-2.16
Si 0.3311 0.8824 0.0964  4 S 2.12-2.16
Si 0.6689 0.1176 0.9036  4 S 2.12-2.16
Si 0.6689 0.3824 0.4036  4 S 2.12-2.16
S 0.1255 0.7045 0.6957  1 Si 2.16
S 0.1255 0.7955 0.1957  1 Si 2.16
S 0.1374 0.1188 0.5001  4 Ce 2.79-2.96
S 0.1374 0.3812 0.0001  4 Ce 2.79-2.96
S 0.1753 0.5295 0.3864  1 Si 2.13
S 0.1753 0.9705 0.8864  1 Si 2.13
S 0.4198 0.0023 0.2839  1 Si 2.12
S 0.4198 0.4977 0.7839  1 Si 2.12
S 0.4722 0.2293 0.9477  1 Si 2.12
S 0.4722 0.2707 0.4477  1 Si 2.12
S 0.5278 0.7293 0.5523  1 Si 2.12
S 0.5278 0.7707 0.0523  1 Si 2.12
S 0.5802 0.5023 0.2161  1 Si 2.12
S 0.5802 0.9977 0.7161  1 Si 2.12
S 0.8247 0.0295 0.1136  1 Si 2.13
S 0.8247 0.4705 0.6136  1 Si 2.13
S 0.8626 0.6188 0.9999  4 Ce 2.79-2.96
S 0.8626 0.8812 0.4999  4 Ce 2.79-2.96
S 0.8745 0.2045 0.8043  1 Si 2.16
S 0.8745 0.2955 0.3043  1 Si 2.16

Output
- magnetization (μB/cell) = 8.00
- crystal system = monoclinic

---

--- 3 ---
Below is Ce2SiS5 after structural relaxation, with properties calculated at the PBE level.

Unit cell a=7.1127 b=7.1127 c=12.6086 alpha=90.00 beta=90.00 gamma=137.42
Closest atoms and distances in Å follow each position.
Fractional coordinates of all 16 atoms:
Ce 0.1462 0.8538 0.5706  6 S 2.70-2.88
Ce 0.1462 0.8538 0.9294  6 S 2.70-2.88
Ce 0.8538 0.1462 0.0706  6 S 2.70-2.88
Ce 0.8538 0.1462 0.4294  6 S 2.70-2.88
Si 0.1737 0.8263 0.2500  4 S 2.29-2.51
Si 0.8263 0.1737 0.7500  4 S 2.29-2.51
S 0.0517 0.9483 0.1209  1 Si 2.29
S 0.0517 0.9483 0.3791  1 Si 2.29
S 0.2803 0.7197 0.7500  2 Si 2.65, 2 Ce 2.88
S 0.2928 0.7072 0.0951  1 Si 2.51, 2 Ce 2.72
S 0.2928 0.7072 0.4049  1 Si 2.51, 2 Ce 2.72
S 0.7072 0.2928 0.5951  1 Si 2.51, 2 Ce 2.72
S 0.7072 0.2928 0.9049  1 Si 2.51, 2 Ce 2.72
S 0.7197 0.2803 0.2500  2 Si 2.65, 2 Ce 2.88
S 0.9483 0.0517 0.6209  1 Si 2.29
S 0.9483 0.0517 0.8791  1 Si 2.29

Output
- magnetization (μB/cell) = 1.35
- crystal system = orthorhombic

---

Least stable of them? 3.